[1]
Material: In6Te10Pb
Method: DFT, GGA-PBEsol
State: optimized geometry

```
data_In6Te10Pb
_chemical_formula_sum 'In24 Te40 Pb4'
_symmetry_space_group_name_H-M 'C 1 2 1'
_symmetry_Int_Tables_number 5
_cell_length_a 15.090
_cell_length_b 14.863
_cell_length_c 10.549
_cell_angle_alpha 90.00
_cell_angle_beta 90.76
_cell_angle_gamma 90.00
loop_
_symmetry_equiv_pos_as_xyz
'x,y,z'
'-x,y,-z'
'x+1/2,y+1/2,z'
'-x+1/2,y+1/2,-z'
loop_
_atom_site_label
_atom_site_type_symbol
_atom_site_fract_x
_atom_site_fract_y
_atom_site_fract_z
_atom_site_occupancy
In1 In 0.038 0.000 0.330 1
In2 In 0.042 0.521 0.823 1
In3 In 0.140 0.206 0.579 1
In4 In 0.212 0.588 0.119 1
In5 In 0.220 0.868 0.158 1
In6 In 0.245 0.639 0.744 1
Te1 Te 0.000 0.318 0.500 1
Te2 Te 0.000 0.388 0.000 1
Te3 Te 0.059 0.823 0.262 1
Te4 Te 0.084 0.134 0.157 1
Te5 Te 0.106 0.557 0.332 1
Te6 Te 0.115 0.680 0.929 1
Te7 Te 0.134 0.018 0.567 1
Te8 Te 0.157 0.223 0.845 1
Te9 Te 0.181 0.469 0.661 1
Te10 Te 0.198 0.925 0.906 1
Te11 Te 0.216 0.771 0.559 1
Pb1 Pb 0.137 0.351 0.253 1
```

***

[2]
Material: InTe2Pb
Method: DFT, GGA-PBEsol
State: optimized geometry

```
data_InTe2Pb
_chemical_formula_sum 'In1 Te2 Pb1'
_symmetry_space_group_name_H-M 'P 4/m m m'
_symmetry_Int_Tables_number 123
_symmetry_space_group_name_Hall '-P 4 2'
_cell_length_a 4.460
_cell_length_b 4.460
_cell_length_c 6.314
_cell_angle_alpha 90.00
_cell_angle_beta 90.00
_cell_angle_gamma 90.00
loop_
_atom_site_label
_atom_site_type_symbol
_atom_site_fract_x
_atom_site_fract_y
_atom_site_fract_z
_atom_site_occupancy
In1 In 0.000 0.000 0.000 1
Te1 Te 0.000 0.000 0.500 1
Te2 Te 0.500 0.500 0.000 1
Pb1 Pb 0.500 0.500 0.500 1
```

***

[3]
Material: InTe2Pb
Method: DFT, GGA-PBEsol
State: optimized geometry

```
data_InTe2Pb
_chemical_formula_sum 'In3 Te6 Pb3'
_symmetry_space_group_name_H-M 'R -3 m'
_symmetry_Int_Tables_number 166
_symmetry_space_group_name_Hall '-R 3 2"'
_cell_length_a 4.4122
_cell_length_b 4.4122
_cell_length_c 22.0832
_cell_angle_alpha 90.00
_cell_angle_beta 90.00
_cell_angle_gamma 120.00
loop_
_atom_site_label
_atom_site_type_symbol
_atom_site_fract_x
_atom_site_fract_y
_atom_site_fract_z
_atom_site_occupancy
In1 In 0.0000 0.0000 0.0000 1
Te1 Te 0.0000 0.0000 0.2543 1
Pb1 Pb 0.0000 0.0000 0.5000 1
```

***

Respective raw formation energy values: -6.41 -6.81 -6.85 kcal/mol of atoms.
Respective total moment values: 0.00 0.00 0.00 μB/f.u..